[1]
Compound: NiAgSe2
Source: Alexandria via LeMat-Bulk
Functional: GGA-PBEsol
Structure: relaxed

As for the energy above the lowest structure with this stoichiometry: 437 meV/atom. The energy comes out at -0.2956 Ry/atom. The raw formation energy comes out at 270 meV/atom. For the density, the calculation gives 8.2 g/cm³.

Lattice parameters (Å, degrees): 3.3877 4.4378 4.4378 99.20 90.00 90.00
Fractional positions:
Ag  0.5000  0.0000  0.0000
Ni  0.5000  0.5000  0.5000
Se  0.0000  0.5000  0.0000
Se  0.0000  0.0000  0.5000

***

[2]
Compound: LaSb2Mo
Source: Alexandria via LeMat-Bulk
Functional: GGA-PBEsol
Structure: relaxed

As for the energy above the lowest structure with this stoichiometry: 183 meV/atom. The energy comes out at -0.4781 Ry/atom. The raw formation energy comes out at 53 meV/atom. For the density, the calculation gives 8.3 g/cm³.

Lattice parameters (Å, degrees): 4.4059 4.4059 5.8535 112.11 112.11 90.00
Fractional positions:
La  0.5000  0.5000  0.0000
Mo  0.2500  0.7500  0.5000
Sb  0.0000  0.0000  0.0000
Sb  0.7500  0.2500  0.5000

***

[3]
Compound: LiCaBe2
Source: Alexandria via LeMat-Bulk
Functional: GGA-PBEsol
Structure: relaxed

As for the energy above the lowest structure with this stoichiometry: 174 meV/atom. The energy comes out at -0.1833 Ry/atom. The formation energy from the elements comes out at 530 meV per atom. For the density, the calculation gives 1.6 g/cm³.

Lattice parameters (Å, degrees): 4.5206 4.5206 4.5206 62.41 62.41 62.41
Fractional positions:
Be  0.2234  0.2234  0.2234
Be  0.7766  0.7766  0.7766
Ca  0.5000  0.5000  0.5000
Li  0.0000  0.0000  0.0000

***

[4]
Compound: SbPb2Au
Source: Alexandria via LeMat-Bulk
Functional: GGA-PBEsol
Structure: relaxed

The energy comes out at -0.3009 Ry/atom. The raw formation energy comes out at 26 meV/atom. For the density, the calculation gives 12.0 g/cm³.

Lattice parameters (Å, degrees): 3.4849 3.4849 8.3775 90.00 90.00 90.00
Fractional positions:
Pb  0.0000  0.0000  0.7171
Pb  0.0000  0.0000  0.2829
Sb  0.5000  0.5000  0.0000
Au  0.5000  0.5000  0.5000

***

[5]
Compound: AsRuSe2N
Source: Alexandria via LeMat-Bulk
Functional: GGA-PBEsol
Structure: relaxed

The energy comes out at -0.3534 Ry/atom. The raw formation energy comes out at 1493 meV/atom. For the density, the calculation gives 5.3 g/cm³.

Lattice parameters (Å, degrees): 4.6388 4.8534 4.8534 90.00 90.00 90.00
Fractional positions:
Ru  0.0000  0.0000  0.0000
As  0.5000  0.0000  0.0000
Se  0.0000  0.0000  0.5000
Se  0.0000  0.5000  0.0000
N  0.5000  0.5000  0.5000

***

[6]
Compound: TiAg2OsRh
Source: Alexandria via LeMat-Bulk
Functional: GGA-PBEsol
Structure: relaxed

The energy comes out at -0.4022 Ry/atom. The formation energy from the elements comes out at 1587 meV per atom. For the density, the calculation gives 9.4 g/cm³.

Lattice parameters (Å, degrees): 4.2905 4.7991 4.7991 90.00 90.00 90.00
Fractional positions:
Rh  0.0000  0.0000  0.0000
Os  0.5000  0.5000  0.5000
Ag  0.0000  0.0000  0.5000
Ag  0.0000  0.5000  0.0000
Ti  0.5000  0.0000  0.0000

***

[7]
Compound: TlTc3Cl
Source: Alexandria via LeMat-Bulk
Functional: GGA-PBEsol
Structure: relaxed

As for the energy above the lowest structure with this stoichiometry: 0 meV/atom. The energy comes out at -0.4865 Ry/atom. The raw formation energy comes out at 1068 meV/atom. For the density, the calculation gives 10.8 g/cm³.

Lattice parameters (Å, degrees): 4.3438 4.3438 4.3438 90.00 90.00 90.00
Fractional positions:
Tl  0.5000  0.5000  0.5000
Tc  0.0000  0.5000  0.0000
Tc  0.0000  0.0000  0.5000
Tc  0.5000  0.0000  0.0000
Cl  0.0000  0.0000  0.0000

***

[8]
Compound: CaTb2Mn3O9
Source: Alexandria via LeMat-Bulk
Functional: GGA-PBEsol
Structure: relaxed

The energy comes out at -0.6246 Ry/atom. The raw formation energy comes out at -2586 meV/atom. For the density, the calculation gives 6.9 g/cm³.

Lattice parameters (Å, degrees): 5.2460 7.4899 16.3825 90.00 90.00 90.00
Fractional positions:
Ca  0.5129  0.2500  0.8517
Ca  0.9871  0.2500  0.3517
Ca  0.4871  0.7500  0.1483
Ca  0.0129  0.7500  0.6483
Tb  0.5171  0.2500  0.1886
Tb  0.5138  0.2500  0.5200
Tb  0.9829  0.2500  0.6886
Tb  0.9862  0.2500  0.0200
Tb  0.4829  0.7500  0.8114
Tb  0.4862  0.7500  0.4800
Tb  0.0138  0.7500  0.9800
Tb  0.0171  0.7500  0.3114
Mn  0.9988  0.0009  0.8339
Mn  0.0012  0.9991  0.1661
Mn  0.0000  0.0000  0.5000
Mn  0.4988  0.5009  0.6661
Mn  0.5000  0.5000  0.0000
Mn  0.5012  0.4991  0.3339
Mn  0.9988  0.4991  0.8339
Mn  0.0012  0.5009  0.1661
Mn  0.0000  0.5000  0.5000
Mn  0.4988  0.9991  0.6661
Mn  0.5000  0.0000  0.0000
Mn  0.5012  0.0009  0.3339
O  0.8035  0.0413  0.9349
O  0.7925  0.0440  0.2635
O  0.7954  0.0548  0.5981
O  0.7075  0.4560  0.7635
O  0.7046  0.4452  0.0981
O  0.6965  0.4587  0.4349
O  0.2075  0.5440  0.7365
O  0.1965  0.5413  0.0651
O  0.2046  0.5548  0.4019
O  0.2954  0.9452  0.9019
O  0.2925  0.9560  0.2365
O  0.3035  0.9587  0.5651
O  0.2075  0.9560  0.7365
O  0.1965  0.9587  0.0651
O  0.2046  0.9452  0.4019
O  0.2954  0.5548  0.9019
O  0.2925  0.5440  0.2365
O  0.3035  0.5413  0.5651
O  0.8035  0.4587  0.9349
O  0.7925  0.4560  0.2635
O  0.7954  0.4452  0.5981
O  0.7075  0.0440  0.7635
O  0.7046  0.0548  0.0981
O  0.6965  0.0413  0.4349
O  0.4082  0.2500  0.9916
O  0.4193  0.2500  0.3262
O  0.4040  0.2500  0.6577
O  0.0807  0.2500  0.8262
O  0.0960  0.2500  0.1577
O  0.0918  0.2500  0.4916
O  0.5807  0.7500  0.6738
O  0.5918  0.7500  0.0084
O  0.5960  0.7500  0.3423
O  0.9040  0.7500  0.8423
O  0.9193  0.7500  0.1738
O  0.9082  0.7500  0.5084

***

[9]
Compound: TeMo2W
Source: Alexandria via LeMat-Bulk
Functional: GGA-PBEsol
Structure: relaxed

The energy comes out at -0.7209 Ry/atom. The raw formation energy comes out at 409 meV/atom. For the density, the calculation gives 12.7 g/cm³.

Lattice parameters (Å, degrees): 3.1915 4.5443 4.5443 90.00 90.00 90.00
Fractional positions:
Mo  0.0000  0.0000  0.5000
Mo  0.0000  0.5000  0.0000
Te  0.5000  0.5000  0.5000
W  0.5000  0.0000  0.0000

***

[10]
Compound: RbY2InPb
Source: Alexandria via LeMat-Bulk
Functional: GGA-PBEsol
Structure: relaxed

The energy comes out at -0.2286 Ry/atom. The formation energy from the elements comes out at 1220 meV per atom. For the density, the calculation gives 5.8 g/cm³.

Lattice parameters (Å, degrees): 5.3754 5.3754 5.8259 90.00 90.00 90.00
Fractional positions:
Pb  0.0000  0.0000  0.5000
Y  0.0000  0.5000  0.0000
Y  0.5000  0.0000  0.0000
Rb  0.0000  0.0000  0.0000
In  0.5000  0.5000  0.5000

***

[11]
Compound: BaNiP2
Source: Alexandria via LeMat-Bulk
Functional: GGA-PBEsol
Structure: relaxed

The energy comes out at -0.4116 Ry/atom. The formation energy from the elements comes out at -627 meV per atom. For the density, the calculation gives 5.6 g/cm³.

Lattice parameters (Å, degrees): 3.9272 3.9272 6.1178 71.28 71.28 60.00
Fractional positions:
Ba  0.5000  0.5000  0.5000
Ni  0.0000  0.0000  0.0000
P  0.2974  0.2974  0.1078
P  0.7026  0.7026  0.8922

***

[12]
Compound: AlTlCo2
Source: Alexandria via LeMat-Bulk
Functional: GGA-PBEsol
Structure: relaxed

As for the energy above the lowest structure with this stoichiometry: 192 meV/atom. The energy comes out at -0.3860 Ry/atom. The formation energy from the elements comes out at 297 meV per atom. For the density, the calculation gives 10.1 g/cm³.

Lattice parameters (Å, degrees): 2.8941 2.8941 8.0798 79.68 79.68 60.00
Fractional positions:
Tl  0.5000  0.5000  0.5000
Co  0.2568  0.2568  0.2296
Co  0.7432  0.7432  0.7704
Al  0.0000  0.0000  0.0000

***

[13]
Compound: CsYSeCl2O3
Source: Alexandria via LeMat-Bulk
Functional: GGA-PBEsol
Structure: relaxed

The energy comes out at -0.4378 Ry/atom. The raw formation energy comes out at -2034 meV/atom. For the density, the calculation gives 3.5 g/cm³.

Lattice parameters (Å, degrees): 6.5924 6.9438 17.4647 90.00 97.78 90.00
Fractional positions:
Cs  0.3174  0.2923  0.5566
Cs  0.8174  0.2077  0.0566
Cs  0.1826  0.7923  0.9434
Cs  0.6826  0.7077  0.4434
Y  0.3800  0.1700  0.2420
Y  0.6200  0.8300  0.7580
Y  0.1200  0.6700  0.2580
Y  0.8800  0.3300  0.7420
Se  0.5737  0.6802  0.2068
Se  0.4263  0.3198  0.7932
Se  0.0737  0.8198  0.7068
Se  0.9263  0.1802  0.2932
O  0.9239  0.6544  0.7488
O  0.0837  0.9938  0.2710
O  0.5837  0.5062  0.7710
O  0.4163  0.4938  0.2290
O  0.0761  0.3456  0.2512
O  0.9163  0.0062  0.7290
O  0.7816  0.6602  0.2744
O  0.2816  0.8398  0.7744
O  0.7184  0.1602  0.2256
O  0.4239  0.8456  0.2488
O  0.5761  0.1544  0.7512
O  0.2184  0.3398  0.7256
Cl  0.0239  0.3102  0.8899
Cl  0.8265  0.3696  0.5909
Cl  0.4761  0.8102  0.6101
Cl  0.6735  0.8696  0.9091
Cl  0.5239  0.1898  0.3899
Cl  0.1735  0.6304  0.4091
Cl  0.3265  0.1304  0.0909
Cl  0.9761  0.6898  0.1101

***

[14]
Compound: YBr2
Source: Alexandria via LeMat-Bulk
Functional: GGA-PBEsol
Structure: relaxed

The energy comes out at -0.3787 Ry/atom. The raw formation energy comes out at -1632 meV/atom. For the density, the calculation gives 4.9 g/cm³.

Lattice parameters (Å, degrees): 3.4812 3.4812 14.2028 97.04 97.04 90.00
Fractional positions:
Br  0.8097  0.3097  0.6194
Br  0.4403  0.4403  0.8806
Br  0.6903  0.1903  0.3806
Br  0.5597  0.5597  0.1194
Y  0.2500  0.7500  0.5000
Y  0.0000  0.0000  0.0000

***

[15]
Compound: SbMoPt2
Source: Alexandria via LeMat-Bulk
Functional: GGA-PBEsol
Structure: relaxed

The energy comes out at -0.5561 Ry/atom. The raw formation energy comes out at -3 meV/atom. For the density, the calculation gives 15.2 g/cm³.

Lattice parameters (Å, degrees): 2.9323 3.7428 6.0639 90.00 90.00 90.00
Fractional positions:
Mo  0.5000  0.5000  0.7799
Pt  0.0000  0.0000  0.9897
Pt  0.5000  0.5000  0.2365
Sb  0.0000  0.0000  0.4938

***

[16]
Compound: Li2Zr6MnCl15
Source: Alexandria via LeMat-Bulk
Functional: GGA-PBEsol
Structure: relaxed

The energy comes out at -0.4231 Ry/atom. The raw formation energy comes out at -1659 meV/atom. For the density, the calculation gives 3.5 g/cm³.

Lattice parameters (Å, degrees): 8.9109 8.9109 8.9109 108.91 108.91 110.60
Fractional positions:
Li  0.7500  0.2500  0.5000
Li  0.2500  0.7500  0.5000
Zr  0.2394  0.2394  0.0000
Zr  0.0000  0.2299  0.2299
Zr  0.7701  0.0000  0.7701
Zr  0.7606  0.7606  0.0000
Zr  0.0000  0.7701  0.7701
Zr  0.2299  0.0000  0.2299
Mn  0.0000  0.0000  0.0000
Cl  0.5000  0.5000  0.0000
Cl  0.0000  0.5000  0.5000
Cl  0.5000  0.0000  0.5000
Cl  0.7554  0.2446  0.0000
Cl  0.0020  0.2509  0.7511
Cl  0.2509  0.4998  0.2489
Cl  0.7554  0.7554  0.5109
Cl  0.5002  0.7491  0.7511
Cl  0.7491  0.5002  0.7511
Cl  0.2446  0.2446  0.4891
Cl  0.9980  0.7491  0.2489
Cl  0.7491  0.9980  0.2489
Cl  0.2446  0.7554  0.0000
Cl  0.4998  0.2509  0.2489
Cl  0.2509  0.0020  0.7511

***

[17]
Compound: CrSiTeW2
Source: Alexandria via LeMat-Bulk
Functional: GGA-PBEsol
Structure: relaxed

The energy comes out at -0.6064 Ry/atom. The raw formation energy comes out at 1176 meV/atom. For the density, the calculation gives 10.7 g/cm³.

Lattice parameters (Å, degrees): 4.2433 4.5968 4.5968 90.00 90.00 90.00
Fractional positions:
Cr  0.0000  0.0000  0.0000
Si  0.5000  0.0000  0.0000
Te  0.5000  0.5000  0.5000
W  0.0000  0.0000  0.5000
W  0.0000  0.5000  0.0000

***

[18]
Compound: SiSI3
Source: Alexandria via LeMat-Bulk
Functional: GGA-PBEsol
Structure: relaxed

The energy comes out at -0.1867 Ry/atom. The raw formation energy comes out at 546 meV/atom. For the density, the calculation gives 4.6 g/cm³.

Lattice parameters (Å, degrees): 5.4348 5.4348 5.4348 90.00 90.00 90.00
Fractional positions:
I  0.0000  0.5000  0.0000
I  0.0000  0.0000  0.5000
I  0.5000  0.0000  0.0000
S  0.5000  0.5000  0.5000
Si  0.0000  0.0000  0.0000

***

[19]
Compound: Na4MnO4
Source: Alexandria via LeMat-Bulk
Functional: GGA-PBEsol
Structure: relaxed

As for the energy above the lowest structure with this stoichiometry: 54 meV/atom. The energy comes out at -0.4066 Ry/atom. The raw formation energy comes out at -1493 meV/atom. For the density, the calculation gives 2.8 g/cm³.

Lattice parameters (Å, degrees): 4.8479 6.7620 7.6543 90.72 90.00 90.00
Fractional positions:
Na  0.2767  0.0391  0.6835
Na  0.7233  0.5391  0.1835
Na  0.7551  0.3132  0.7304
Na  0.2449  0.8132  0.2304
Na  0.8516  0.1942  0.3151
Na  0.1484  0.6942  0.8151
Na  0.2424  0.2787  0.0077
Na  0.7576  0.7787  0.5077
Mn  0.6968  0.9901  0.9862
Mn  0.3032  0.4901  0.4862
O  0.7469  0.2446  0.0244
O  0.2531  0.7446  0.5244
O  0.6548  0.4441  0.4703
O  0.3452  0.9441  0.9703
O  0.1982  0.4595  0.2609
O  0.8018  0.9595  0.7609
O  0.2322  0.3801  0.7009
O  0.7678  0.8801  0.2009

***

[20]
Compound: SnPtO3
Source: Alexandria via LeMat-Bulk
Functional: GGA-PBEsol
Structure: relaxed

The energy comes out at -0.4050 Ry/atom. The raw formation energy comes out at -116 meV/atom. For the density, the calculation gives 9.4 g/cm³.

Lattice parameters (Å, degrees): 3.9968 3.9968 3.9968 90.00 90.00 90.00
Fractional positions:
O  0.0000  0.5000  0.0000
O  0.0000  0.0000  0.5000
O  0.5000  0.0000  0.0000
Sn  0.0000  0.0000  0.0000
Pt  0.5000  0.5000  0.5000